(1)
VASP calculation (PBE-GGA) on an optimized crystal structure of LaPm5Se6.

Cell lengths 7.309, 7.309, 7.306 Å; angles 99.58, 99.58, 120.25 degrees
Fractional coordinates of all 12 atoms:
Pm 0.834 0.166 0.500
Pm 0.667 0.333 0.000
Pm 0.500 0.500 0.500
Pm 0.333 0.667 0.000
Pm 0.166 0.834 0.500
Se 0.422 0.085 0.253
Se 0.915 0.578 0.747
Se 0.254 0.254 0.749
Se 0.746 0.746 0.251
Se 0.085 0.422 0.253
Se 0.578 0.915 0.747
La 0.000 0.000 0.000

Values from the calculation:
Energy relative to the elements, uncorrected (eV per atom): -1.87
Magnetization (μB/cell): 0.00
Space-group type: No. 12

***

(2)
VASP calculation (PBE-GGA) on an optimized crystal structure of LaPmSe.

Cell lengths 6.813, 4.067, 4.067 Å; angles 120.00, 90.00, 90.00 degrees
Last column: magnetic moment on the atom in μB.
Fractional coordinates of all 3 atoms:
La 0.609 0.667 0.333  0.25
Se 0.328 0.333 0.667  0.01
Pm 0.063 0.000 0.000  0.30

Values from the calculation:
Energy relative to the elements, uncorrected (eV per atom): -1.13
Magnetization (μB/cell): 1.45
Space-group type: No. 156

***

(3)
VASP calculation (PBE-GGA) on an optimized crystal structure of La3Pm5Se12.

Cell lengths 15.035, 15.035, 15.035 Å; angles 109.47, 109.47, 109.47 degrees
Fractional coordinates of all 80 atoms:
La 0.750 0.375 0.125
La 0.875 0.750 0.125
La 0.375 0.750 0.625
La 0.250 0.125 0.375
La 0.875 0.125 0.250
La 0.375 0.625 0.250
La 0.625 0.375 0.750
La 0.125 0.875 0.750
La 0.750 0.875 0.625
La 0.625 0.250 0.375
La 0.125 0.250 0.875
La 0.250 0.625 0.875
Pm 0.125 0.375 0.250
Pm 0.000 0.500 0.000
Pm 0.000 0.000 0.000
Pm 0.375 0.250 0.125
Pm 0.500 0.000 0.500
Pm 0.500 0.500 0.000
Pm 0.125 0.750 0.375
Pm 0.750 0.125 0.875
Pm 0.750 0.625 0.375
Pm 0.375 0.125 0.750
Pm 0.625 0.875 0.250
Pm 0.500 0.500 0.500
Pm 0.500 0.000 0.000
Pm 0.000 0.000 0.500
Pm 0.250 0.375 0.625
Pm 0.250 0.875 0.125
Pm 0.000 0.500 0.500
Pm 0.875 0.250 0.625
Pm 0.625 0.750 0.875
Pm 0.875 0.625 0.750
Se 0.723 0.132 0.049
Se 0.326 0.549 0.418
Se 0.951 0.368 0.277
Se 0.549 0.223 0.132
Se 0.591 0.723 0.674
Se 0.951 0.582 0.174
Se 0.326 0.777 0.409
Se 0.082 0.909 0.132
Se 0.582 0.951 0.674
Se 0.723 0.591 0.174
Se 0.777 0.451 0.368
Se 0.826 0.918 0.049
Se 0.132 0.723 0.549
Se 0.368 0.418 0.091
Se 0.091 0.918 0.368
Se 0.409 0.132 0.582
Se 0.091 0.174 0.223
Se 0.451 0.674 0.082
Se 0.826 0.909 0.277
Se 0.132 0.409 0.082
Se 0.368 0.951 0.777
Se 0.582 0.632 0.409
Se 0.918 0.826 0.549
Se 0.777 0.326 0.909
Se 0.418 0.368 0.591
Se 0.082 0.174 0.451
Se 0.223 0.674 0.091
Se 0.174 0.091 0.723
Se 0.632 0.049 0.223
Se 0.868 0.591 0.918
Se 0.549 0.326 0.918
Se 0.591 0.868 0.418
Se 0.909 0.826 0.777
Se 0.909 0.082 0.632
Se 0.868 0.277 0.451
Se 0.174 0.082 0.951
Se 0.632 0.582 0.909
Se 0.418 0.049 0.326
Se 0.277 0.409 0.826
Se 0.223 0.549 0.632
Se 0.918 0.091 0.868
Se 0.674 0.223 0.591
Se 0.451 0.777 0.868
Se 0.049 0.418 0.826
Se 0.409 0.277 0.326
Se 0.049 0.632 0.723
Se 0.674 0.451 0.582
Se 0.277 0.868 0.951

Values from the calculation:
Energy relative to the elements, uncorrected (eV per atom): -1.77
Magnetization (μB/cell): 0.00
Space-group type: No. 230

***

Repeat the first record exactly.
VASP calculation (PBE-GGA) on an optimized crystal structure of LaPm5Se6.

Cell lengths 7.309, 7.309, 7.306 Å; angles 99.58, 99.58, 120.25 degrees
Fractional coordinates of all 12 atoms:
Pm 0.834 0.166 0.500
Pm 0.667 0.333 0.000
Pm 0.500 0.500 0.500
Pm 0.333 0.667 0.000
Pm 0.166 0.834 0.500
Se 0.422 0.085 0.253
Se 0.915 0.578 0.747
Se 0.254 0.254 0.749
Se 0.746 0.746 0.251
Se 0.085 0.422 0.253
Se 0.578 0.915 0.747
La 0.000 0.000 0.000

Values from the calculation:
Energy relative to the elements, uncorrected (eV per atom): -1.87
Magnetization (μB/cell): 0.00
Space-group type: No. 12

***

Which of these has the highest magnetization?
LaPmSe

***

Which value of energy relative to the elements, uncorrected does entry 3 give?
-1.77 eV per atom